[1]
{
  "formula": "RhPb3Cl",
  "functional": "PBE",
  "state": "optimized geometry",
  "lattice_angstrom": [[5.3424, 0.0000, 0.0000], [0.0000, 5.3424, 0.0000], [0.0000, 0.0000, 5.3424]],
  "species": ["Pb", "Pb", "Pb", "Cl", "Rh"],
  "fractional_positions": [[0.5000, 0.0000, 0.0000], [0.0000, 0.5000, 0.0000], [0.0000, 0.0000, 0.5000], [0.5000, 0.5000, 0.5000], [0.0000, 0.0000, 0.0000]],
  "raw_formation_energy_mev_per_atom": -131,
  "sg": "Pm-3m, No. 221",
  "relative_energy_mev_per_atom": 0
}

***

[2]
{
  "formula": "Sm6Ho2Tm3Mg",
  "functional": "PBE",
  "state": "optimized geometry",
  "lattice_angstrom": [[-3.0235, 2.0797, -4.9486], [1.6321, -5.9304, 0.3494], [-9.5327, -1.1630, 6.6182]],
  "species": ["Sm", "Sm", "Sm", "Sm", "Sm", "Sm", "Tm", "Tm", "Tm", "Ho", "Ho", "Mg"],
  "fractional_positions": [[0.0828, 0.4156, 0.2499], [0.2501, 0.2501, 0.7491], [0.4156, 0.0828, 0.2499], [0.9172, 0.5844, 0.7501], [0.7499, 0.7499, 0.2509], [0.5844, 0.9172, 0.7501], [0.8336, 0.1664, 0.5000], [0.1664, 0.8336, 0.5000], [0.5000, 0.5000, 0.5000], [0.6664, 0.3336, 0.0000], [0.3336, 0.6664, 0.0000], [0.0000, 0.0000, 0.0000]],
  "delta_e_f_mev_per_atom": 23.7,
  "sg": "C2/m, No. 12"
}

***

[3]
{
  "formula": "KPRh2",
  "functional": "PBE",
  "state": "optimized geometry",
  "lattice_angstrom": [[4.3247, 0.0058, 0.0000], [-0.0042, 4.3247, 0.0000], [0.0000, 0.0000, 3.4297]],
  "species": ["P", "Rh", "Rh", "K"],
  "fractional_positions": [[0.0000, 0.5000, 0.5000], [0.0000, 0.0000, 0.0000], [0.5000, 0.5000, 0.0000], [0.5000, 0.0000, 0.5000]],
  "delta_e_f_mev_per_atom": 547.6,
  "sg": "P4/mmm, No. 123"
}

***

[4]
{
  "formula": "AcTbY2Ho",
  "functional": "PBE",
  "state": "optimized geometry",
  "lattice_angstrom": [[7.3347, 0.0000, 0.0000], [0.0000, 8.5121, 0.0000], [0.0000, -4.2561, 5.9534]],
  "species": ["Tb", "Tb", "Y", "Y", "Y", "Y", "Ac", "Ac", "Ho", "Ho"],
  "fractional_positions": [[0.2500, 0.0297, 0.0593], [0.7500, 0.9703, 0.9407], [0.0000, 0.3088, 0.0000], [0.0000, 0.6912, 0.0000], [0.5000, 0.3088, 0.0000], [0.5000, 0.6912, 0.0000], [0.2500, 0.7472, 0.4943], [0.7500, 0.2528, 0.5057], [0.7500, 0.7030, 0.4060], [0.2500, 0.2970, 0.5940]],
  "delta_e_f_mev_per_atom": 353.6,
  "sg": "Cmcm, No. 63"
}

***

[5]
{
  "formula": "La4Nd7Er",
  "functional": "PBE",
  "state": "optimized geometry",
  "lattice_angstrom": [[6.1694, 0.0000, 0.0000], [3.0847, 11.5523, -0.4227], [3.0847, 0.1704, 6.1649]],
  "species": ["Nd", "Nd", "Nd", "Nd", "Nd", "Nd", "Nd", "Er", "La", "La", "La", "La"],
  "fractional_positions": [[0.7859, 0.9241, 0.5041], [0.9319, 0.3101, 0.8260], [0.0681, 0.6899, 0.1740], [0.6319, 0.5028, 0.2334], [0.3681, 0.4972, 0.7666], [0.5000, 0.0000, 0.0000], [0.2141, 0.0759, 0.4959], [0.0000, 0.0000, 0.0000], [0.7779, 0.6661, 0.7782], [0.6423, 0.2214, 0.4939], [0.3577, 0.7786, 0.5061], [0.2221, 0.3339, 0.2218]],
  "delta_e_f_mev_per_atom": 229.1,
  "sg": "C2/m, No. 12",
  "relative_energy_mev_per_atom": 213
}

***

[6]
{
  "formula": "PrHo2Er3Se6",
  "functional": "PBE",
  "state": "optimized geometry",
  "lattice_angstrom": [[7.0617, -0.0158, -0.0003], [-3.5428, 6.1087, -0.0003], [-1.1741, -2.0329, 6.6983]],
  "species": ["Se", "Se", "Se", "Se", "Se", "Se", "Ho", "Ho", "Pr", "Er", "Er", "Er"],
  "fractional_positions": [[0.9140, 0.5674, 0.7401], [0.5674, 0.9140, 0.7401], [0.7394, 0.7394, 0.2537], [0.2606, 0.2606, 0.7463], [0.4326, 0.0860, 0.2599], [0.0860, 0.4326, 0.2599], [0.3351, 0.6649, 0.0000], [0.6649, 0.3351, 0.0000], [0.0000, 0.0000, 0.0000], [0.5000, 0.5000, 0.5000], [0.8420, 0.1580, 0.5000], [0.1580, 0.8420, 0.5000]],
  "raw_formation_energy_mev_per_atom": -1729,
  "sg": "C2/m, No. 12"
}

***

| no. | E_tot (eV/atom) |
| --- | --- |
| 1 | -4.20 |
| 2 | -4.35 |
| 3 | -4.75 |
| 4 | -4.90 |
| 5 | -4.57 |
| 6 | -5.77 |